w) Here is a relaxed TlCuP2O crystal from the Alexandria database. Energies are from PBE.

a b c (Å): 4.857 4.857 3.619
angles (deg): 90.00 90.00 90.00
Fractional positions:
Tl: 0.000 0.000 0.000
Cu: 0.500 0.500 0.500
P: 0.000 0.500 0.500
P: 0.500 0.000 0.500
O: 0.500 0.500 0.000

Calculated values
Its space-group type is P4/mmm, No. 123. For the calculated volume, the calculation gives 17.1 Å³/atom.

***

x) Here is a relaxed TlCuP2O crystal from the Alexandria database. Energies are from PBE.

a b c (Å): 5.219 5.219 4.022
angles (deg): 90.00 90.00 90.00
Fractional positions:
Tl: 0.000 0.000 0.000
Cu: 0.500 0.500 0.500
P: 0.000 0.500 0.000
P: 0.500 0.000 0.000
O: 0.000 0.000 0.500

Calculated values
Its space-group type is P4/mmm, No. 123. For the calculated volume, the calculation gives 21.9 Å³/atom.

***

Relative energies in meV/atom: w) 0; x) 835